## BeAl2 (PBE)

Data for a relaxed BeAl2 crystal.

Calculated values
Crystal system   orthorhombic
Magnetic moment   0.000 μB per cell
Calculated total energy   -21.12 eV for the cell shown
E_form   0.217 eV per atom
DOS(E_F)   0.9 states/eV per cell
Space group   Cmcm, No. 63

```
BeAl2
1.0
0.365 5.951 -3.738
-2.660 -6.168 2.097
-2.336 2.027 2.998
Al Be
4 2
Cartesian
-1.565 1.066 -0.393
-2.066 4.751 -0.180
-3.067 0.743 1.750
-2.565 -2.941 1.537
-0.551 5.126 -2.348
-4.080 -3.316 3.704
```